(a)
The following is a DFT calculation (GGA-PBE) of crystalline Nb2TlSn2 at its relaxed geometry.

Values from the calculation:
D(E_F)   9.53 states/eV/cell
V   233.1 Å³ per cell

a = 8.803 Å, b = 8.803 Å, c = 3.009 Å
α = 90.00°, β = 90.00°, γ = 90.00°
Fractional positions:
Nb: 0.111 0.389 0.000
Nb: 0.389 0.889 0.000
Nb: 0.611 0.111 0.000
Nb: 0.889 0.611 0.000
Tl: 0.000 0.000 0.500
Tl: 0.500 0.500 0.500
Sn: 0.177 0.677 0.500
Sn: 0.323 0.177 0.500
Sn: 0.677 0.823 0.500
Sn: 0.823 0.323 0.500


(b)
The following is a DFT calculation (GGA-PBE) of crystalline Nb2TlSn2 at its relaxed geometry.

Values from the calculation:
D(E_F)   7.05 states/eV/cell
V   220.1 Å³ per cell

a = 7.591 Å, b = 7.591 Å, c = 3.820 Å
α = 90.00°, β = 90.00°, γ = 90.00°
Fractional positions:
Nb: 0.138 0.362 0.000
Nb: 0.362 0.862 0.000
Nb: 0.638 0.138 0.000
Nb: 0.862 0.638 0.000
Tl: 0.000 0.000 0.000
Tl: 0.500 0.500 0.000
Sn: 0.155 0.655 0.500
Sn: 0.345 0.155 0.500
Sn: 0.655 0.845 0.500
Sn: 0.845 0.345 0.500


Sorted by energy, starting with the most stable: (b), (a).